# LiIrOs | Alexandria | PBE | relaxed
data_LiIrOs
_cell_length_a 13.202
_cell_length_b 2.726
_cell_length_c 4.604
_cell_angle_alpha 90.00
_cell_angle_beta 92.32
_cell_angle_gamma 90.00
_symmetry_space_group_name_H-M 'C 1 m 1'
_symmetry_Int_Tables_number 8
_symmetry_space_group_name_Hall 'C -2y'
loop_
_atom_site_label
_atom_site_fract_x
_atom_site_fract_y
_atom_site_fract_z
_atom_site_occupancy
Li1 0.000 0.000 0.000 1
Li2 0.161 0.500 0.965 1
Ir1 0.165 0.000 0.459 1
Ir2 0.495 0.000 0.487 1
Os1 0.329 0.500 0.686 1
Os2 0.330 0.000 0.165 1
# Total moment = 0.0 μB/f.u.
# Calculated density = 15.62 g/cm³
# ΔE_f = -6 meV/atom
# ΔE to the lowest computed polymorph = 20 meV/atom